(1)
The following is a PBE-GGA calculation of an optimized crystal structure of Pr4Sm5Ho, from Alexandria.

CIF file:
```
data_Pr4Sm5Ho
_cell_length_a 5.831
_cell_length_b 10.881
_cell_length_c 10.881
_cell_angle_alpha 90.00
_cell_angle_beta 90.00
_cell_angle_gamma 90.00
_symmetry_space_group_name_H-M 'P 1'
_symmetry_Int_Tables_number 1
loop_
_symmetry_equiv_pos_as_xyz
'x,y,z'
loop_
_atom_site_label
_atom_site_type_symbol
_atom_site_fract_x
_atom_site_fract_y
_atom_site_fract_z
_atom_site_occupancy
Sm1 Sm 0.163 0.839 0.839 1
Sm2 Sm 0.000 0.500 0.000 1
Sm3 Sm 0.837 0.661 0.339 1
Sm4 Sm 0.163 0.839 0.161 1
Sm5 Sm 0.163 0.161 0.839 1
Sm6 Sm 0.837 0.339 0.661 1
Sm7 Sm 0.163 0.161 0.161 1
Sm8 Sm 0.837 0.339 0.339 1
Sm9 Sm 0.837 0.661 0.661 1
Sm10 Sm 0.000 0.000 0.500 1
Pr1 Pr 0.631 0.000 0.294 1
Pr2 Pr 0.369 0.794 0.500 1
Pr3 Pr 0.369 0.500 0.206 1
Pr4 Pr 0.631 0.706 0.000 1
Pr5 Pr 0.369 0.500 0.794 1
Pr6 Pr 0.631 0.000 0.706 1
Pr7 Pr 0.369 0.206 0.500 1
Pr8 Pr 0.631 0.294 0.000 1
Ho1 Ho 0.633 0.000 0.000 1
Ho2 Ho 0.367 0.500 0.500 1
```

## Properties
The relative energy among the computed polymorphs is 4 meV per atom. As for the crystal system: tetragonal. As for the space-group type: No. 129. The calculation puts the calculated formation energy at 0.18 eV per atom.

=====

(2)
The following is a PBE-GGA calculation of an optimized crystal structure of Pr2SmHo, from Alexandria.

CIF file:
```
data_Pr2SmHo
_cell_length_a 5.157
_cell_length_b 5.166
_cell_length_c 6.313
_cell_angle_alpha 114.15
_cell_angle_beta 114.11
_cell_angle_gamma 90.00
_symmetry_space_group_name_H-M 'P 1'
_symmetry_Int_Tables_number 1
loop_
_symmetry_equiv_pos_as_xyz
'x,y,z'
loop_
_atom_site_label
_atom_site_type_symbol
_atom_site_fract_x
_atom_site_fract_y
_atom_site_fract_z
_atom_site_occupancy
Pr1 Pr 0.750 0.250 0.500 1
Pr2 Pr 0.000 0.000 0.000 1
Sm1 Sm 0.250 0.750 0.500 1
Ho1 Ho 0.500 0.500 0.000 1
```

## Properties
The relative energy among the computed polymorphs is 5 meV per atom. As for the crystal system: tetragonal. As for the space-group type: No. 119. The calculation puts the calculated formation energy at 0.02 eV per atom.

=====

(3)
The following is a PBE-GGA calculation of an optimized crystal structure of Pr7SmHo4, from Alexandria.

CIF file:
```
data_Pr7SmHo4
_cell_length_a 6.063
_cell_length_b 9.795
_cell_length_c 8.683
_cell_angle_alpha 61.83
_cell_angle_beta 69.57
_cell_angle_gamma 71.97
_symmetry_space_group_name_H-M 'P 1'
_symmetry_Int_Tables_number 1
loop_
_symmetry_equiv_pos_as_xyz
'x,y,z'
loop_
_atom_site_label
_atom_site_type_symbol
_atom_site_fract_x
_atom_site_fract_y
_atom_site_fract_z
_atom_site_occupancy
Pr1 Pr 0.787 0.886 0.540 1
Pr2 Pr 0.500 0.000 0.000 1
Pr3 Pr 0.213 0.114 0.460 1
Pr4 Pr 0.215 0.758 0.812 1
Pr5 Pr 0.785 0.242 0.188 1
Pr6 Pr 0.087 0.548 0.278 1
Pr7 Pr 0.913 0.452 0.722 1
Ho1 Ho 0.331 0.379 0.959 1
Ho2 Ho 0.570 0.301 0.559 1
Ho3 Ho 0.430 0.699 0.441 1
Ho4 Ho 0.669 0.621 0.041 1
Sm1 Sm 0.000 0.000 0.000 1
```

## Properties
The relative energy among the computed polymorphs is 198 meV per atom. As for the crystal system: monoclinic. As for the space-group type: No. 12. The calculation puts the calculated formation energy at 0.20 eV per atom.